Entry 1:
A plane-wave DFT calculation with meta-GGA SCAN was carried out for a crystal of Fe3Pt relaxed with PBEsol.

## Properties
- Formation enthalpy at 0 K: -0.2403 eV/atom
- E: -125.5 eV for the cell shown
- Fermi-level density of states: 2.3 states/eV per cell
- V: 12.45 Å³/atom

a = 2.575 Å, b = 4.017 Å, c = 4.929 Å
α = 90.00°, β = 102.30°, γ = 90.00°
Site moments in Bohr magnetons follow the coordinates.
Element x y z (fractional)
Fe  0.716  0.000  0.765  2.97
Fe  0.284  0.000  0.235  2.97
Fe  0.500  0.500  0.000  2.85
Pt  0.000  0.500  0.500  0.39


Entry 2:
A plane-wave DFT calculation with meta-GGA SCAN was carried out for a crystal of CaGa2Rh2 relaxed with PBEsol.

## Properties
- Formation enthalpy at 0 K: -0.8163 eV/atom
- E: -114.0 eV for the cell shown
- Fermi-level density of states: 1.2 states/eV per cell
- V: 17.71 Å³/atom

a = 4.245 Å, b = 4.245 Å, c = 5.759 Å
α = 111.63°, β = 111.63°, γ = 90.00°
Element x y z (fractional)
Ca  0.000  0.000  0.000
Rh  0.250  0.750  0.500
Rh  0.750  0.250  0.500
Ga  0.370  0.370  0.740
Ga  0.630  0.630  0.260


Entry 3:
A plane-wave DFT calculation with meta-GGA SCAN was carried out for a crystal of Hf3NbH relaxed with PBEsol.

## Properties
- E: -224.7 eV for the cell shown
- Fermi-level density of states: 6.3 states/eV per cell
- ΔE to the lowest computed polymorph: 0 meV per atom
- V: 16.71 Å³/atom

a = 4.371 Å, b = 4.371 Å, c = 4.371 Å
α = 90.00°, β = 90.00°, γ = 90.00°
Element x y z (fractional)
H  0.000  0.000  0.000
Nb  0.500  0.500  0.500
Hf  0.000  0.500  0.000
Hf  0.000  0.000  0.500
Hf  0.500  0.000  0.000


Entry 4:
A plane-wave DFT calculation with meta-GGA SCAN was carried out for a crystal of ReRu3Cl relaxed with PBEsol.

## Properties
- Formation energy from raw total energies: 1.650 eV/atom
- E: -175.3 eV for the cell shown
- Fermi-level density of states: 4.8 states/eV per cell
- V: 15.10 Å³/atom

a = 4.227 Å, b = 4.227 Å, c = 4.227 Å
α = 90.00°, β = 90.00°, γ = 90.00°
Site moments in Bohr magnetons follow the coordinates.
Element x y z (fractional)
Re  0.500  0.500  0.500  1.19
Cl  0.000  0.000  0.000  0.01
Ru  0.000  0.500  0.000  0.38
Ru  0.000  0.000  0.500  0.38
Ru  0.500  0.000  0.000  0.38